1) # Ho2TcCl

A relaxed Ho2TcCl crystal (PBE-GGA, Alexandria via LeMat-Bulk).

Cell: 3.400 3.400 7.783 Å, 90.00 90.00 90.00°
Sites, in units of the cell vectors:
Tc: 0.500 0.500 0.000
Ho: 0.000 0.000 0.790
Ho: 0.000 0.000 0.210
Cl: 0.500 0.500 0.500

## Properties
Density, Mg/m³: 8.55
Total magnetization, μB/f.u.: 0.000
Fermi-level density of states, states/eV per atom: 0.5562

2) # Ho2TcCl

A relaxed Ho2TcCl crystal (PBE-GGA, Alexandria via LeMat-Bulk).

Cell: 3.230 3.230 10.024 Å, 80.73 80.73 60.00°
Last column: magnetic moment on the atom in μB.
Sites, in units of the cell vectors:
Cl: 0.500 0.500 0.500  0.01
Ho: 0.090 0.090 0.731  0.04
Ho: 0.910 0.910 0.269  0.04
Tc: 0.000 0.000 0.000  1.03

## Properties
Density, Mg/m³: 8.64
Total magnetization, μB/f.u.: 1.228
Fermi-level density of states, states/eV per atom: 1.0004

The structure with the most favorable energy is 1); the runner-up is 0.723 eV/atom above it.

1) # HoTcCl

A relaxed HoTcCl crystal (PBE-GGA, Alexandria via LeMat-Bulk).

Cell: 4.053 3.998 12.515 Å, 108.82 89.94 59.84°
Sites, in units of the cell vectors:
Tc: 0.962 0.946 0.221
Tc: 0.646 0.575 0.190
Ho: 0.428 0.009 0.019
Ho: 0.498 0.881 0.425
Cl: 0.862 0.144 0.875
Cl: 0.742 0.398 0.569

## Properties
Density, Mg/m³: 6.09
Total magnetization, μB/f.u.: 0.000
Fermi-level density of states, states/eV per atom: 0.6789

2) # HoTcCl

A relaxed HoTcCl crystal (PBE-GGA, Alexandria via LeMat-Bulk).

Cell: 4.033 4.033 11.379 Å, 79.79 79.79 60.00°
Sites, in units of the cell vectors:
Cl: 0.719 0.719 0.843
Cl: 0.281 0.281 0.157
Ho: 0.565 0.565 0.304
Ho: 0.435 0.435 0.696
Tc: 0.839 0.839 0.482
Tc: 0.161 0.161 0.518

## Properties
Density, Mg/m³: 6.32
Total magnetization, μB/f.u.: 0.000
Fermi-level density of states, states/eV per atom: 0.7028

The structure with the most favorable energy is 2); the runner-up is 0.166 eV/atom above it.

1) # ICl3

A relaxed ICl3 crystal (PBE-GGA, Alexandria via LeMat-Bulk).

Cell: 6.340 8.933 6.014 Å, 83.94 85.11 71.55°
Sites, in units of the cell vectors:
Cl: 0.741 0.123 0.878
Cl: 0.252 0.204 0.438
Cl: 0.748 0.796 0.562
Cl: 0.746 0.444 0.203
Cl: 0.259 0.877 0.122
Cl: 0.254 0.556 0.797
I: 0.001 0.818 0.824
I: 0.999 0.182 0.176

## Properties
Density, Mg/m³: 2.42
Total magnetization, μB/f.u.: 0.000
Fermi-level density of states, states/eV per atom: 0.0000

2) # ICl3

A relaxed ICl3 crystal (PBE-GGA, Alexandria via LeMat-Bulk).

Cell: 12.159 12.159 12.159 Å, 17.15 17.15 17.15°
Last column: magnetic moment on the atom in μB.
Sites, in units of the cell vectors:
Cl: 0.068 0.068 0.068  0.01
Cl: 0.500 0.500 0.500  0.70
Cl: 0.932 0.932 0.932  0.01
I: 0.000 0.000 0.000  0.02

## Properties
Density, Mg/m³: 2.84
Total magnetization, μB/f.u.: 0.976
Fermi-level density of states, states/eV per atom: 1.0260

The structure with the most favorable energy is 1); the runner-up is 0.437 eV/atom above it.

1) # ICl3

A relaxed ICl3 crystal (PBE-GGA, Alexandria via LeMat-Bulk).

Cell: 12.506 12.506 12.506 Å, 15.81 15.81 15.81°
Sites, in units of the cell vectors:
I: 0.500 0.500 0.500
Cl: 0.060 0.060 0.060
Cl: 0.000 0.000 0.000
Cl: 0.940 0.940 0.940

## Properties
Density, Mg/m³: 3.06
Total magnetization, μB/f.u.: 0.000
Fermi-level density of states, states/eV per atom: 0.9693

2) # ICl3

A relaxed ICl3 crystal (PBE-GGA, Alexandria via LeMat-Bulk).

Cell: 6.858 6.858 9.437 Å, 68.69 68.69 90.00°
Last column: magnetic moment on the atom in μB.
Sites, in units of the cell vectors:
Cl: 0.876 0.625 0.250  0.01
Cl: 0.875 0.124 0.750  0.01
Cl: 0.375 0.126 0.750  0.01
Cl: 0.250 0.750 0.500  0.50
Cl: 0.874 0.125 0.250  0.01
Cl: 0.500 0.500 0.000  0.49
I: 0.000 0.000 0.000  0.02
I: 0.750 0.250 0.500  0.02

## Properties
Density, Mg/m³: 2.03
Total magnetization, μB/f.u.: 0.762
Fermi-level density of states, states/eV per atom: 2.3718

3) # ICl3

A relaxed ICl3 crystal (PBE-GGA, Alexandria via LeMat-Bulk).

Cell: 4.279 4.774 7.505 Å, 90.00 90.00 90.00°
Sites, in units of the cell vectors:
Cl: 0.000 0.500 0.218
Cl: 0.500 0.500 0.698
Cl: 0.500 0.000 0.631
I: 0.000 0.000 0.119

## Properties
Density, Mg/m³: 2.53
Total magnetization, μB/f.u.: 0.000
Fermi-level density of states, states/eV per atom: 0.7005

4) # ICl3

A relaxed ICl3 crystal (PBE-GGA, Alexandria via LeMat-Bulk).

Cell: 8.715 5.074 9.691 Å, 62.22 90.01 90.01°
Sites, in units of the cell vectors:
I: 0.250 0.143 0.414
I: 0.750 0.857 0.586
Cl: 0.750 0.252 0.224
Cl: 0.750 0.326 0.667
Cl: 0.250 0.674 0.333
Cl: 0.250 0.748 0.776
Cl: 0.250 0.449 0.008
Cl: 0.750 0.551 0.992

## Properties
Density, Mg/m³: 2.04
Total magnetization, μB/f.u.: 0.000

The structure with the most favorable energy is 4); the runner-up is 0.093 eV/atom above it.

1) # I4Cl

A relaxed I4Cl crystal (PBE-GGA, Alexandria via LeMat-Bulk).

Cell: 5.811 5.811 5.811 Å, 90.00 90.00 90.00°
Last column: magnetic moment on the atom in μB.
Sites, in units of the cell vectors:
I: 0.500 0.500 0.000  0.21
I: 0.500 0.000 0.500  0.21
I: 0.000 0.000 0.000  0.65
I: 0.000 0.500 0.500  0.21
Cl: 0.500 0.500 0.500  0.01

## Properties
Density, Mg/m³: 4.60
Total magnetization, μB/f.u.: 1.916
Fermi-level density of states, states/eV per atom: 1.4927

2) # I4Cl

A relaxed I4Cl crystal (PBE-GGA, Alexandria via LeMat-Bulk).

Cell: 9.895 6.439 17.369 Å, 98.82 126.26 118.03°
Sites, in units of the cell vectors:
I: 0.226 0.289 0.486
I: 0.016 0.662 0.153
I: 0.416 0.644 0.818
I: 0.259 0.150 0.649
I: 0.532 0.114 0.984
I: 0.002 0.612 0.971
I: 0.838 0.269 0.410
I: 0.524 0.297 0.362
Cl: 0.206 0.397 0.349
Cl: 0.981 0.566 0.820

## Properties
Density, Mg/m³: 2.88
Total magnetization, μB/f.u.: 0.000

The structure with the most favorable energy is 2); the runner-up is 0.552 eV/atom above it.

1) # In2ICl2

A relaxed In2ICl2 crystal (PBE-GGA, Alexandria via LeMat-Bulk).

Cell: 5.350 9.298 7.957 Å, 84.23 70.51 73.16°
Sites, in units of the cell vectors:
Cl: 0.456 0.588 0.750
Cl: 0.544 0.412 0.250
Cl: 0.796 0.911 0.749
Cl: 0.204 0.089 0.251
In: 0.745 0.249 0.509
In: 0.494 0.751 0.009
In: 0.255 0.751 0.491
In: 0.506 0.249 0.991
I: 0.874 0.750 0.251
I: 0.126 0.250 0.749

## Properties
Density, Mg/m³: 3.97
Total magnetization, μB/f.u.: 0.000
Fermi-level density of states, states/eV per atom: 0.4563

2) # In2ICl2

A relaxed In2ICl2 crystal (PBE-GGA, Alexandria via LeMat-Bulk).

Cell: 4.351 3.985 10.180 Å, 101.29 102.42 90.00°
Sites, in units of the cell vectors:
In: 0.315 0.319 0.638
In: 0.552 0.552 0.104
I: 0.746 0.751 0.503
Cl: 0.088 0.090 0.181
Cl: 0.417 0.920 0.840

## Properties
Density, Mg/m³: 4.20
Total magnetization, μB/f.u.: 0.000
Fermi-level density of states, states/eV per atom: 0.3052

3) # In2ICl2

A relaxed In2ICl2 crystal (PBE-GGA, Alexandria via LeMat-Bulk).

Cell: 4.750 4.750 7.311 Å, 71.05 71.05 90.00°
Sites, in units of the cell vectors:
I: 0.000 0.000 0.000
Cl: 0.250 0.750 0.500
Cl: 0.750 0.250 0.500
In: 0.380 0.380 0.241
In: 0.620 0.620 0.759

## Properties
Density, Mg/m³: 4.84
Total magnetization, μB/f.u.: 0.000
Fermi-level density of states, states/eV per atom: 0.9645

The structure with the most favorable energy is 2); the runner-up is 0.009 eV/atom above it.

1) # In3I2Cl

A relaxed In3I2Cl crystal (PBE-GGA, Alexandria via LeMat-Bulk).

Cell: 6.755 8.759 8.759 Å, 104.64 90.00 90.00°
Sites, in units of the cell vectors:
I: 0.918 0.556 0.176
I: 0.418 0.824 0.444
I: 0.418 0.444 0.824
I: 0.918 0.176 0.556
In: 0.058 0.164 0.164
In: 0.955 0.553 0.808
In: 0.455 0.447 0.192
In: 0.955 0.808 0.553
In: 0.455 0.192 0.447
In: 0.558 0.836 0.836
Cl: 0.156 0.895 0.895
Cl: 0.656 0.105 0.105

## Properties
Density, Mg/m³: 4.20
Total magnetization, μB/f.u.: 0.000
Fermi-level density of states, states/eV per atom: 0.0000

2) # In3I2Cl

A relaxed In3I2Cl crystal (PBE-GGA, Alexandria via LeMat-Bulk).

Cell: 10.758 10.758 10.758 Å, 153.89 153.89 37.26°
Sites, in units of the cell vectors:
In: 0.844 0.844 0.000
In: 0.156 0.156 0.000
In: 0.500 0.500 0.000
I: 0.670 0.670 0.000
I: 0.330 0.330 0.000
Cl: 0.000 0.000 0.000

## Properties
Density, Mg/m³: 4.37
Total magnetization, μB/f.u.: 0.000

The structure with the most favorable energy is 2); the runner-up is 0.010 eV/atom above it.

1) # InICl3

A relaxed InICl3 crystal (PBE-GGA, Alexandria via LeMat-Bulk).

Cell: 6.434 7.780 6.479 Å, 89.98 90.00 89.99°
Last column: magnetic moment on the atom in μB.
Sites, in units of the cell vectors:
I: 0.915 0.985 0.201  0.09
I: 0.415 0.368 0.701  0.09
Cl: 0.450 0.396 0.201  0.05
Cl: 0.950 0.957 0.701  0.05
Cl: 0.424 0.826 0.451  0.00
Cl: 0.423 0.826 0.950  0.00
Cl: 0.924 0.526 0.450  0.00
Cl: 0.924 0.526 0.952  0.00
In: 0.167 0.683 0.701  0.00
In: 0.667 0.669 0.201  0.00

## Properties
Density, Mg/m³: 3.56
Total magnetization, μB/f.u.: 0.193
Fermi-level density of states, states/eV per atom: 0.2895

2) # InICl3

A relaxed InICl3 crystal (PBE-GGA, Alexandria via LeMat-Bulk).

Cell: 5.237 5.237 5.237 Å, 90.00 90.00 90.00°
Last column: magnetic moment on the atom in μB.
Sites, in units of the cell vectors:
Cl: 0.500 0.000 0.000  0.07
Cl: 0.000 0.000 0.500  0.10
Cl: 0.000 0.500 0.000  0.04
I: 0.500 0.500 0.500  0.67
In: 0.000 0.000 0.000  -0.02

## Properties
Density, Mg/m³: 4.02
Total magnetization, μB/f.u.: 1.252
Fermi-level density of states, states/eV per atom: 1.6215

The structure with the most favorable energy is 1); the runner-up is 0.218 eV/atom above it.

1) # In2I2Cl

A relaxed In2I2Cl crystal (PBE-GGA, Alexandria via LeMat-Bulk).

Cell: 5.976 5.976 7.142 Å, 65.27 65.27 90.00°
Sites, in units of the cell vectors:
In: 0.750 0.250 0.500
In: 0.250 0.750 0.500
Cl: 0.000 0.000 0.000
I: 0.337 0.337 0.326
I: 0.663 0.663 0.674

## Properties
Density, Mg/m³: 4.19
Total magnetization, μB/f.u.: 0.000
Fermi-level density of states, states/eV per atom: 0.4587

2) # In2I2Cl

A relaxed In2I2Cl crystal (PBE-GGA, Alexandria via LeMat-Bulk).

Cell: 4.218 6.579 7.687 Å, 65.47 74.08 71.30°
Sites, in units of the cell vectors:
I: 0.322 0.188 0.668
I: 0.678 0.812 0.332
Cl: 0.500 0.500 0.000
In: 0.943 0.316 0.297
In: 0.057 0.684 0.703

## Properties
Density, Mg/m³: 4.75
Total magnetization, μB/f.u.: 0.000
Fermi-level density of states, states/eV per atom: 0.7343

The structure with the most favorable energy is 2); the runner-up is 0.204 eV/atom above it.

1) # InI2NCl

A relaxed InI2NCl crystal (PBE-GGA, Alexandria via LeMat-Bulk).

Cell: 7.106 7.106 3.394 Å, 90.00 90.00 90.00°
Sites, in units of the cell vectors:
N: 0.000 0.000 0.500
Cl: 0.000 0.000 0.000
I: 0.000 0.500 0.000
I: 0.500 0.000 0.000
In: 0.500 0.500 0.500

## Properties
Density, Mg/m³: 4.05
Total magnetization, μB/f.u.: 0.104
Fermi-level density of states, states/eV per atom: 0.6649

2) # InI2NCl

A relaxed InI2NCl crystal (PBE-GGA, Alexandria via LeMat-Bulk).

Cell: 6.040 6.040 4.204 Å, 90.00 90.00 90.00°
Last column: magnetic moment on the atom in μB.
Sites, in units of the cell vectors:
N: 0.000 0.000 0.500  1.00
Cl: 0.500 0.500 0.500  0.50
I: 0.500 0.000 0.000  0.34
I: 0.000 0.500 0.000  0.34
In: 0.000 0.000 0.000  -0.05

## Properties
Density, Mg/m³: 4.53
Total magnetization, μB/f.u.: 3.032
Fermi-level density of states, states/eV per atom: 0.9975

The structure with the most favorable energy is 2); the runner-up is 0.083 eV/atom above it.

1) # InIN2Cl

A relaxed InIN2Cl crystal (PBE-GGA, Alexandria via LeMat-Bulk).

Cell: 4.450 4.450 6.538 Å, 90.00 90.00 90.00°
Last column: magnetic moment on the atom in μB.
Sites, in units of the cell vectors:
In: 0.000 0.000 0.000  -0.06
N: 0.500 0.000 0.000  1.17
N: 0.000 0.500 0.000  1.17
I: 0.000 0.000 0.500  0.09
Cl: 0.500 0.500 0.500  0.04

## Properties
Density, Mg/m³: 3.91
Total magnetization, μB/f.u.: 3.647
Fermi-level density of states, states/eV per atom: 0.6019

2) # InIN2Cl

A relaxed InIN2Cl crystal (PBE-GGA, Alexandria via LeMat-Bulk).

Cell: 4.414 4.414 6.861 Å, 90.00 90.00 90.00°
Last column: magnetic moment on the atom in μB.
Sites, in units of the cell vectors:
Cl: 0.000 0.000 0.000  -0.01
In: 0.500 0.500 0.500  0.01
I: 0.000 0.000 0.500  0.02
N: 0.500 0.000 0.000  1.14
N: 0.000 0.500 0.000  1.14

## Properties
Density, Mg/m³: 3.79
Total magnetization, μB/f.u.: 3.419
Fermi-level density of states, states/eV per atom: 0.5261

The structure with the most favorable energy is 1); the runner-up is 0.474 eV/atom above it.

1) # NaInICl

A relaxed NaInICl crystal (PBE-GGA, Alexandria via LeMat-Bulk).

Cell: 4.406 4.408 8.293 Å, 89.98 105.40 120.03°
Sites, in units of the cell vectors:
In: 0.959 0.378 0.352
I: 0.482 0.139 0.636
Cl: 0.105 0.950 0.071
Na: 0.331 0.564 0.911

## Properties
Density, Mg/m³: 3.75
Total magnetization, μB/f.u.: 0.000
Fermi-level density of states, states/eV per atom: 0.0000

2) # NaInICl

A relaxed NaInICl crystal (PBE-GGA, Alexandria via LeMat-Bulk).

Cell: 5.602 5.602 5.602 Å, 60.00 60.00 60.00°
Sites, in units of the cell vectors:
In: 0.500 0.500 0.500
Na: 0.000 0.000 0.000
I: 0.250 0.250 0.250
Cl: 0.750 0.750 0.750

## Properties
Density, Mg/m³: 4.01
Total magnetization, μB/f.u.: 0.000
Fermi-level density of states, states/eV per atom: 0.0000

The structure with the most favorable energy is 1); the runner-up is 0.120 eV/atom above it.